1.
## Ba2TaCrS6 (PBE)

Data for a relaxed Ba2TaCrS6 crystal.

Lattice parameters (Å, degrees): 6.8509 6.8509 34.3963 90.00 90.00 120.00
Last column: nearest neighbours and their distance in Å.
Space group R-3m (No. 166, hexagonal axes)
Symmetry-distinct sites (fractional):
Ba1 0.0000 0.0000 0.1195  12 S 3.35-3.73
Ba2 0.0000 0.0000 0.2943  12 S 3.39-3.52
Ta1 0.0000 0.0000 0.0000  6 S 2.44
Ta2 0.0000 0.0000 0.5000  6 S 2.45
Cr1 0.0000 0.0000 0.4149  6 S 2.39-2.41
S1 0.0014 0.5007 0.2922  1 Cr 2.41, 1 Ta 2.44
S2 0.0079 0.5039 0.1227  1 Cr 2.39, 1 Ta 2.45

Computed properties:
As for the raw formation energy: -1363 meV/atom.

2.
## Zr4TcOs (PBE)

Data for a relaxed Zr4TcOs crystal.

Lattice parameters (Å, degrees): 6.4526 6.4526 6.4435 90.00 90.07 90.00
Last column: nearest neighbours and their distance in Å.
Space group C2/m (No. 12)
Symmetry-distinct sites (fractional):
Zr1 0.2503 0.2499 0.2494  2 Os 2.79, 2 Tc 2.79-2.80
Tc1 0.0000 0.0000 0.5000  8 Zr 2.79-2.80
Os1 0.0000 0.5000 0.0000  8 Zr 2.79

Computed properties:
For the formation energy, the calculation gives -95 meV/atom. The calculation puts the polymorph energy (0 for the lowest one) at 0.195 eV per atom.

3.
## BeNi6Sb (PBE)

Data for a relaxed BeNi6Sb crystal.

Lattice parameters (Å, degrees): 3.6450 3.6450 6.9486 90.00 90.00 90.00
Last column: nearest neighbours and their distance in Å.
Space group P4/mmm (No. 123)
Symmetry-distinct sites (fractional):
Be1 0.0000 0.0000 0.0000  12 Ni 2.40-2.58
Ni1 0.0000 0.5000 0.2247  8 Ni 2.40-2.64, 2 Be 2.40, 2 Sb 2.64
Ni2 0.5000 0.5000 0.0000  8 Ni 2.40, 4 Be 2.58
Ni3 0.5000 0.5000 0.5000  4 Sb 2.58, 8 Ni 2.64
Sb1 0.0000 0.0000 0.5000  12 Ni 2.58-2.64

Computed properties:
The calculation puts the polymorph energy (0 for the lowest one) at 0.000 eV per atom. As for the raw formation energy: -149 meV/atom.

4.
## HIr2PtRh (PBE)

Data for a relaxed HIr2PtRh crystal.

Lattice parameters (Å, degrees): 3.9501 3.9501 3.9418 90.00 90.00 90.00
Last column: nearest neighbours and their distance in Å.
Space group P4/mmm (No. 123)
Symmetry-distinct sites (fractional):
H1 0.0000 0.0000 0.0000  2 Rh 1.97, 4 Ir 1.98
Ir1 0.0000 0.5000 0.0000  2 H 1.98
Pt1 0.5000 0.5000 0.5000  8 Ir 2.79, 4 Rh 2.79
Rh1 0.0000 0.0000 0.5000  2 H 1.97

Computed properties:
The calculation puts the polymorph energy (0 for the lowest one) at 0.000 eV per atom.